Entry 1:
Li2HgPd2 | PBE-GGA | optimized geometry

## Properties
VASP energy = -32.3 eV/cell

POSCAR file:
```
Li2HgPd2
1.0
7.088 0.000 0.000
0.000 7.088 0.000
0.000 0.000 2.993
Li Hg Pd
4 2 4
direct
0.127 0.373 0.000
0.373 0.873 0.000
0.627 0.127 0.000
0.873 0.627 0.000
0.000 0.000 0.000
0.500 0.500 0.000
0.171 0.671 0.500
0.329 0.171 0.500
0.671 0.829 0.500
0.829 0.329 0.500
```

=====

Entry 2:
La2Pr5Sm3 | PBE-GGA | optimized geometry

## Properties
VASP energy = -89.8 eV/cell

POSCAR file:
```
La2Pr5Sm3
1.0
-6.692 8.382 3.337
6.692 -8.382 3.337
6.692 8.382 -3.337
La Pr Sm
4 10 6
direct
0.223 0.132 0.356
0.277 0.632 0.909
0.723 0.368 0.091
0.777 0.868 0.644
0.157 0.874 0.030
0.250 0.501 0.251
0.250 0.750 0.500
0.250 0.999 0.749
0.343 0.374 0.717
0.657 0.626 0.283
0.750 0.001 0.251
0.750 0.250 0.500
0.750 0.499 0.749
0.843 0.126 0.970
0.157 0.391 0.548
0.250 0.250 0.000
0.343 0.891 0.234
0.657 0.109 0.766
0.750 0.750 0.000
0.843 0.609 0.452
```

=====

Entry 3:
Ho5CdPb6 | PBE-GGA | optimized geometry

## Properties
VASP energy = -50.5 eV/cell

POSCAR file:
```
Ho5CdPb6
1.0
8.009 -4.465 0.000
8.009 4.465 0.000
-1.482 0.000 4.660
Ho Cd Pb
5 1 6
direct
0.000 0.000 0.000
0.170 0.170 0.669
0.356 0.356 0.355
0.644 0.644 0.645
0.830 0.830 0.331
0.500 0.500 0.000
0.076 0.583 0.830
0.238 0.762 0.500
0.417 0.924 0.170
0.583 0.076 0.830
0.762 0.238 0.500
0.924 0.417 0.170
```